First-principles (PBE+U) data for an optimized crystal structure of ErPaMn2O8, as listed in Alexandria via LeMat-Bulk.

Geometry as POSCAR:
```
ErPaMn2O8
1.0
-0.185 -0.001 5.131
-3.430 -3.819 -0.124
5.950 -1.816 -2.355
O Er Pa Mn
8 1 1 2
Direct
0.410 0.339 0.158
0.748 0.819 0.158
0.617 0.651 0.653
0.661 0.252 0.842
0.036 0.002 0.653
0.349 0.964 0.347
0.181 0.590 0.842
0.998 0.383 0.347
0.000 0.000 0.000
0.750 0.250 0.500
0.250 0.750 0.500
0.500 0.500 0.000
```

Summary:
* size of the total moment: 0.50 μB per atom
* space-group type: I-4
* E: -8.05 eV/atom